[1]
This record from Alexandria via LeMat-Bulk describes a relaxed structure of Pr3Ga3Co2. The functional is PBE-GGA.

Properties
Magnetic moment ... 0.00 μB/f.u.
DFT total energy ... -40.937 eV/f.u.
Energy of formation ... -0.413 eV per atom

Cell: 7.681 15.069 5.927 Å, 90.00 90.00 90.00°
Element x y z (fractional)
1 Pr 0.033 0.106 0.120
2 Pr 0.033 0.394 0.120
3 Pr 0.165 0.250 0.632
4 Pr 0.335 0.750 0.132
5 Pr 0.467 0.606 0.620
6 Pr 0.467 0.894 0.620
7 Pr 0.533 0.106 0.380
8 Pr 0.533 0.394 0.380
9 Pr 0.665 0.250 0.868
10 Pr 0.835 0.750 0.368
11 Pr 0.967 0.606 0.880
12 Pr 0.967 0.894 0.880
13 Ga 0.164 0.040 0.607
14 Ga 0.164 0.460 0.607
15 Ga 0.179 0.750 0.609
16 Ga 0.321 0.250 0.109
17 Ga 0.336 0.540 0.107
18 Ga 0.336 0.960 0.107
19 Ga 0.664 0.040 0.893
20 Ga 0.664 0.460 0.893
21 Ga 0.679 0.750 0.891
22 Ga 0.821 0.250 0.391
23 Ga 0.836 0.540 0.393
24 Ga 0.836 0.960 0.393
25 Co 0.135 0.602 0.387
26 Co 0.135 0.898 0.387
27 Co 0.365 0.102 0.887
28 Co 0.365 0.398 0.887
29 Co 0.635 0.602 0.113
30 Co 0.635 0.898 0.113
31 Co 0.865 0.102 0.613
32 Co 0.865 0.398 0.613

***

[2]
This record from Alexandria via LeMat-Bulk describes a relaxed structure of MnTl2Br. The functional is PBE-GGA.

Properties
Magnetic moment ... 4.49 μB/f.u.
Formation energy without anion corrections ... 11 meV per atom
DFT total energy ... -15.532 eV/f.u.

Cell: 3.495 3.495 10.021 Å, 90.00 90.00 113.46°
Element x y z (fractional)
1 Mn 0.000 0.000 0.000
2 Tl 0.000 0.000 0.494
3 Tl 0.500 0.500 0.220
4 Br 0.500 0.500 0.829

***

[3]
This record from Alexandria via LeMat-Bulk describes a relaxed structure of Fe3Au. The functional is PBE-GGA.

Properties
Magnetic moment ... 8.10 μB/f.u.
DFT total energy ... -27.843 eV/f.u.
Energy of formation ... 0.206 eV per atom

Cell: 4.607 4.607 2.728 Å, 90.00 90.00 109.34°
Element x y z (fractional)
1 Fe 0.000 0.000 0.000
2 Fe 0.000 0.500 0.500
3 Fe 0.500 0.000 0.500
4 Au 0.500 0.500 0.000

***

[4]
This record from Alexandria via LeMat-Bulk describes a relaxed structure of PrHoHfTh. The functional is PBE-GGA.

Properties
Magnetic moment ... 0.00 μB/f.u.
DFT total energy ... -25.874 eV/f.u.
Energy of formation ... 0.214 eV per atom

Cell: 5.508 5.508 5.508 Å, 60.00 60.00 60.00°
Element x y z (fractional)
1 Pr 0.000 0.000 0.000
2 Ho 0.750 0.750 0.750
3 Hf 0.250 0.250 0.250
4 Th 0.500 0.500 0.500

***

[5]
This record from Alexandria via LeMat-Bulk describes a relaxed structure of Na2PbI. The functional is PBE-GGA.

Properties
Magnetic moment ... 0.00 μB/f.u.
Formation energy without anion corrections ... -204 meV per atom
DFT total energy ... -8.711 eV/f.u.

Cell: 5.635 5.635 5.635 Å, 60.00 60.00 60.00°
Element x y z (fractional)
1 Na 0.250 0.250 0.250
2 Na 0.750 0.750 0.750
3 Pb 0.000 0.000 0.000
4 I 0.500 0.500 0.500

***

[6]
This record from Alexandria via LeMat-Bulk describes a relaxed structure of CsTeAsN2. The functional is PBE-GGA.

Properties
Magnetic moment ... 3.00 μB/f.u.
Formation energy without anion corrections ... 2295 meV per atom
DFT total energy ... -13.821 eV/f.u.

Cell: 4.408 4.408 7.861 Å, 90.00 90.00 90.00°
Element x y z (fractional)
1 Cs 0.000 0.000 0.000
2 Te 0.000 0.000 0.500
3 As 0.500 0.500 0.500
4 N 0.000 0.500 0.000
5 N 0.500 0.000 0.000